Run 1
Compound: VFeNi6
Source: Alexandria via LeMat-Bulk
Functional: PBE
Structure: relaxed

Properties
Total magnetization, μB/f.u.: 4.74

Unit cell a=3.5502 b=3.5502 c=7.0981 alpha=90.00 beta=90.00 gamma=90.00
With the nearest neighbours (Å) after each atom.
Space group P4/mmm (No. 123)
Asymmetric unit:
V 0.0000 0.0000 0.0000  12 Ni 2.50-2.51
Fe 0.0000 0.0000 0.5000  12 Ni 2.51-2.52
Ni 0.0000 0.5000 0.2480  8 Ni 2.50-2.52, 2 V 2.50, 2 Fe 2.52
Ni 0.5000 0.5000 0.0000  8 Ni 2.50, 4 V 2.51
Ni 0.5000 0.5000 0.5000  4 Fe 2.51, 8 Ni 2.52

=====

Run 2
Compound: VFeNi6
Source: Alexandria via LeMat-Bulk
Functional: PBE
Structure: relaxed

Properties
Total magnetization, μB/f.u.: 3.99

Unit cell a=7.0153 b=4.7336 c=6.4012 alpha=90.00 beta=108.26 gamma=90.00
With the nearest neighbours (Å) after each atom.
Space group C2/m (No. 12)
Asymmetric unit:
V 0.0000 0.0000 0.0000  10 Ni 2.41-2.64
Fe 0.0000 0.5000 0.5000  6 Ni 2.35-2.43
Ni 0.1392 0.0000 0.4334  5 Ni 2.36-2.54, 3 Fe 2.43-2.65, 1 V 2.64
Ni 0.2013 0.2411 0.8028  5 Ni 2.28-2.54, 1 Fe 2.35, 2 V 2.41-2.45

=====

Q: Which of them is the least stable? A: run 2.

=====

Run 1
Compound: VFe2Ni8
Source: Alexandria via LeMat-Bulk
Functional: PBE
Structure: relaxed

Properties
Total magnetization, μB/f.u.: 7.60

Unit cell a=6.5280 b=12.2504 c=4.3340 alpha=90.00 beta=131.50 gamma=90.00
With the nearest neighbours (Å) after each atom.
Space group C2/m (No. 12)
Asymmetric unit:
V 0.0000 0.0000 0.0000  2 Ni 2.37
Fe 0.0000 0.3174 0.5000  12 Ni 2.45-2.64
Ni 0.0000 0.1936 0.0000  1 V 2.37, 4 Fe 2.45-2.64, 6 Ni 2.45-2.56
Ni 0.0013 0.5000 0.7485  6 Ni 2.14-2.37
Ni 0.2376 0.1357 0.7370  7 Ni 2.32-2.57, 3 Fe 2.51-2.59

=====

Run 2
Compound: VFe2Ni8
Source: Alexandria via LeMat-Bulk
Functional: PBE
Structure: relaxed

Properties
Total magnetization, μB/f.u.: 7.57

Unit cell a=7.2670 b=9.4384 c=3.7872 alpha=90.00 beta=90.00 gamma=90.00
With the nearest neighbours (Å) after each atom.
Space group Cmmm (No. 65)
Asymmetric unit:
V 0.0000 0.0000 0.0000  12 Ni 2.34-2.59
Fe 0.0000 0.3772 0.5000  4 Ni 2.25-2.40, 1 Fe 2.32
Ni 0.0000 0.2481 0.0000  2 Fe 2.25, 1 V 2.34, 4 Ni 2.51
Ni 0.1681 0.5000 0.0000  1 V 2.41, 7 Ni 2.44-2.67, 4 Fe 2.53
Ni 0.1700 0.1330 0.5000  2 Fe 2.40-2.62, 7 Ni 2.47-2.56, 2 V 2.59

=====

Q: Which of them is the least stable? A: run 1.